Record 1
The following is a PBE calculation of Zr2NpCu after structural relaxation, from Alexandria via LeMat-Bulk.

```
data_Zr2NpCu
_chemical_formula_sum 'Zr8 Np4 Cu4'
_cell_length_a 6.862
_cell_length_b 6.862
_cell_length_c 6.862
_cell_angle_alpha 90.00
_cell_angle_beta 90.00
_cell_angle_gamma 90.00
_space_group_name_H-M_alt 'F m -3 m'
_space_group_IT_number 225
_space_group_name_Hall '-F 4 2 3'
loop_
_atom_site_label
_atom_site_type_symbol
_atom_site_fract_x
_atom_site_fract_y
_atom_site_fract_z
Zr1 Zr 0.250 0.250 0.250
Np1 Np 0.000 0.000 0.000
Cu1 Cu 0.000 0.000 0.500
```

Values from the calculation:
ΔE_f: 416 meV per atom

Record 2
The following is a PBE calculation of Pr2SmDy3Er6 after structural relaxation, from Alexandria via LeMat-Bulk.

```
data_Pr2SmDy3Er6
_chemical_formula_sum 'Pr4 Sm2 Dy6 Er12'
_cell_length_a 6.176
_cell_length_b 10.689
_cell_length_c 11.741
_cell_angle_alpha 90.00
_cell_angle_beta 100.06
_cell_angle_gamma 90.00
_space_group_name_H-M_alt 'C 1 2/m 1'
_space_group_IT_number 12
loop_
_space_group_symop_operation_xyz
'x,y,z'
'-x,-y,-z'
'-x,y,-z'
'x,-y,z'
'x+1/2,y+1/2,z'
'-x+1/2,-y+1/2,-z'
'-x+1/2,y+1/2,-z'
'x+1/2,-y+1/2,z'
loop_
_atom_site_label
_atom_site_type_symbol
_atom_site_fract_x
_atom_site_fract_y
_atom_site_fract_z
Pr1 Pr 0.000 0.167 0.000
Sm1 Sm 0.000 0.500 0.000
Dy1 Dy 0.000 0.000 0.500
Dy2 Dy 0.000 0.333 0.500
Er1 Er 0.248 0.166 0.746
Er2 Er 0.248 0.500 0.746
```

Values from the calculation:
ΔE_f: 20 meV per atom

Record 3
The following is a PBE calculation of KTaO4 after structural relaxation, from Alexandria via LeMat-Bulk.

```
data_KTaO4
_chemical_formula_sum 'K1 Ta1 O4'
_cell_length_a 3.450
_cell_length_b 3.450
_cell_length_c 6.667
_cell_angle_alpha 90.00
_cell_angle_beta 90.00
_cell_angle_gamma 90.00
_space_group_name_H-M_alt 'P 4/m m m'
_space_group_IT_number 123
_space_group_name_Hall '-P 4 2'
loop_
_atom_site_label
_atom_site_type_symbol
_atom_site_fract_x
_atom_site_fract_y
_atom_site_fract_z
K1 K 0.000 0.000 0.000
Ta1 Ta 0.500 0.500 0.500
O1 O 0.000 0.500 0.318
```

Values from the calculation:
Formation energy without anion corrections: -1688.0 meV per atom

Record 4
The following is a PBE calculation of Y5In2Ir2Au after structural relaxation, from Alexandria via LeMat-Bulk.

```
data_Y5In2Ir2Au
_chemical_formula_sum 'Y10 In4 Ir4 Au2'
_cell_length_a 11.743
_cell_length_b 11.743
_cell_length_c 3.660
_cell_angle_alpha 90.00
_cell_angle_beta 90.00
_cell_angle_gamma 90.00
_space_group_name_H-M_alt 'P 4/m b m'
_space_group_IT_number 127
_space_group_name_Hall '-P 4 2ab'
loop_
_atom_site_label
_atom_site_type_symbol
_atom_site_fract_x
_atom_site_fract_y
_atom_site_fract_z
Y1 Y 0.000 0.500 0.000
Y2 Y 0.076 0.200 0.000
In1 In 0.173 0.673 0.500
Ir1 Ir 0.135 0.365 0.500
Au1 Au 0.000 0.000 0.500
```

Values from the calculation:
ΔE_f: -664 meV per atom

Record 5
The following is a PBE calculation of Tm6Mg5Sc after structural relaxation, from Alexandria via LeMat-Bulk.

```
data_Tm6Mg5Sc
_chemical_formula_sum 'Tm12 Mg10 Sc2'
_cell_length_a 5.274
_cell_length_b 7.625
_cell_length_c 15.899
_cell_angle_alpha 90.00
_cell_angle_beta 90.00
_cell_angle_gamma 90.00
_space_group_name_H-M_alt 'I m m m'
_space_group_IT_number 71
_space_group_name_Hall '-I 2 2'
loop_
_atom_site_label
_atom_site_type_symbol
_atom_site_fract_x
_atom_site_fract_y
_atom_site_fract_z
Tm1 Tm 0.000 0.250 0.000
Tm2 Tm 0.000 0.250 0.334
Mg1 Mg 0.000 0.000 0.164
Mg2 Mg 0.000 0.000 0.500
Mg3 Mg 0.000 0.500 0.167
Sc1 Sc 0.000 0.500 0.500
```

Values from the calculation:
ΔE_f: -24 meV per atom

Record 6
The following is a PBE calculation of Pm2SmNi6 after structural relaxation, from Alexandria via LeMat-Bulk.

```
data_Pm2SmNi6
_chemical_formula_sum 'Pm2 Sm1 Ni6'
_cell_length_a 6.9419
_cell_length_b 6.9419
_cell_length_c 3.9403
_cell_angle_alpha 90.00
_cell_angle_beta 90.00
_cell_angle_gamma 120.00
_space_group_name_H-M_alt 'P 6/m m m'
_space_group_IT_number 191
_space_group_name_Hall '-P 6 2'
loop_
_atom_site_label
_atom_site_type_symbol
_atom_site_fract_x
_atom_site_fract_y
_atom_site_fract_z
Pm1 Pm 0.3333 0.6667 0.0000
Sm1 Sm 0.0000 0.0000 0.0000
Ni1 Ni 0.0000 0.3331 0.5000
```

Values from the calculation:
ΔE_f: -338 meV per atom

Record 7
The following is a PBE calculation of ZnCuCl2 after structural relaxation, from Alexandria via LeMat-Bulk.

```
data_ZnCuCl2
_chemical_formula_sum 'Zn2 Cu2 Cl4'
_cell_length_a 3.584
_cell_length_b 3.584
_cell_length_c 13.945
_cell_angle_alpha 90.00
_cell_angle_beta 90.00
_cell_angle_gamma 90.00
_space_group_name_H-M_alt 'I -4 m 2'
_space_group_IT_number 119
_space_group_name_Hall 'I -4 -2'
loop_
_atom_site_label
_atom_site_type_symbol
_atom_site_fract_x
_atom_site_fract_y
_atom_site_fract_z
Zn1 Zn 0.000 0.000 0.000
Cu1 Cu 0.000 0.500 0.250
Cl1 Cl 0.000 0.000 0.500
Cl2 Cl 0.000 0.500 0.750
```

Values from the calculation:
Formation energy without anion corrections: -164.2 meV per atom

Record 8
The following is a PBE calculation of AcSmHo6 after structural relaxation, from Alexandria via LeMat-Bulk.

```
data_AcSmHo6
_chemical_formula_sum 'Ac1 Sm1 Ho6'
_cell_length_a 5.082
_cell_length_b 5.082
_cell_length_c 10.174
_cell_angle_alpha 90.00
_cell_angle_beta 90.00
_cell_angle_gamma 90.00
_space_group_name_H-M_alt 'P 4/m m m'
_space_group_IT_number 123
_space_group_name_Hall '-P 4 2'
loop_
_atom_site_label
_atom_site_type_symbol
_atom_site_fract_x
_atom_site_fract_y
_atom_site_fract_z
Ac1 Ac 0.000 0.000 0.000
Sm1 Sm 0.000 0.000 0.500
Ho1 Ho 0.000 0.500 0.257
Ho2 Ho 0.500 0.500 0.000
Ho3 Ho 0.500 0.500 0.500
```

Values from the calculation:
ΔE_f: 44 meV per atom

Record 9
The following is a PBE calculation of CsSc2Te after structural relaxation, from Alexandria via LeMat-Bulk.

```
data_CsSc2Te
_chemical_formula_sum 'Cs4 Sc8 Te4'
_cell_length_a 5.818
_cell_length_b 5.818
_cell_length_c 20.858
_cell_angle_alpha 90.00
_cell_angle_beta 90.00
_cell_angle_gamma 90.00
_space_group_name_H-M_alt 'I 41/a m d'
_space_group_IT_number 141
loop_
_space_group_symop_operation_xyz
'x,y,z'
'-x,-y,-z'
'-y+1/4,x+3/4,z+1/4'
'y+1/4,-x+3/4,-z+1/4'
'-x+1/2,-y,z+1/2'
'x+1/2,y,-z+1/2'
'y+1/4,-x+1/4,z+3/4'
'-y+1/4,x+1/4,-z+3/4'
'x,-y,-z'
'-x,y,z'
'-y+1/4,-x+1/4,-z+3/4'
'y+1/4,x+1/4,z+3/4'
'-x+1/2,y,-z+1/2'
'x+1/2,-y,z+1/2'
'y+1/4,x+3/4,-z+1/4'
'-y+1/4,-x+3/4,z+1/4'
'x+1/2,y+1/2,z+1/2'
'-x+1/2,-y+1/2,-z+1/2'
'-y+3/4,x+1/4,z+3/4'
'y+3/4,-x+1/4,-z+3/4'
'-x,-y+1/2,z'
'x,y+1/2,-z'
'y+3/4,-x+3/4,z+1/4'
'-y+3/4,x+3/4,-z+1/4'
'x+1/2,-y+1/2,-z+1/2'
'-x+1/2,y+1/2,z+1/2'
'-y+3/4,-x+3/4,-z+1/4'
'y+3/4,x+3/4,z+1/4'
'-x,y+1/2,-z'
'x,-y+1/2,z'
'y+3/4,x+1/4,-z+3/4'
'-y+3/4,-x+1/4,z+3/4'
loop_
_atom_site_label
_atom_site_type_symbol
_atom_site_fract_x
_atom_site_fract_y
_atom_site_fract_z
Cs1 Cs 0.000 0.250 0.375
Sc1 Sc 0.000 0.000 0.000
Te1 Te 0.000 0.250 0.875
```

Values from the calculation:
Formation energy without anion corrections: 101.0 meV per atom

Record 10
The following is a PBE calculation of Pa4IrRh3 after structural relaxation, from Alexandria via LeMat-Bulk.

```
data_Pa4IrRh3
_chemical_formula_sum 'Pa4 Ir1 Rh3'
_cell_length_a 3.797
_cell_length_b 4.105
_cell_length_c 11.039
_cell_angle_alpha 90.00
_cell_angle_beta 90.00
_cell_angle_gamma 90.00
_space_group_name_H-M_alt 'P m m 2'
_space_group_IT_number 25
loop_
_space_group_symop_operation_xyz
'x,y,z'
'-x,-y,z'
'-x,y,z'
'x,-y,z'
loop_
_atom_site_label
_atom_site_type_symbol
_atom_site_fract_x
_atom_site_fract_y
_atom_site_fract_z
Pa1 Pa 0.000 0.000 0.000
Pa2 Pa 0.000 0.500 0.277
Pa3 Pa 0.500 0.000 0.499
Pa4 Pa 0.500 0.500 0.776
Ir1 Ir 0.500 0.000 0.237
Rh1 Rh 0.000 0.000 0.738
Rh2 Rh 0.000 0.500 0.539
Rh3 Rh 0.500 0.500 0.037
```

Values from the calculation:
ΔE_f: -777 meV per atom

Record 11
The following is a PBE calculation of ReAsI2O after structural relaxation, from Alexandria via LeMat-Bulk.

```
data_ReAsI2O
_chemical_formula_sum 'Re1 As1 I2 O1'
_cell_length_a 5.553
_cell_length_b 5.553
_cell_length_c 3.758
_cell_angle_alpha 90.00
_cell_angle_beta 90.00
_cell_angle_gamma 90.00
_space_group_name_H-M_alt 'P 4/m m m'
_space_group_IT_number 123
_space_group_name_Hall '-P 4 2'
loop_
_atom_site_label
_atom_site_type_symbol
_atom_site_fract_x
_atom_site_fract_y
_atom_site_fract_z
Re1 Re 0.000 0.000 0.000
As1 As 0.500 0.500 0.500
I1 I 0.000 0.500 0.000
O1 O 0.000 0.000 0.500
```

Values from the calculation:
Formation energy without anion corrections: 210.0 meV per atom